[1]
## Sr3AgO4 (PBE)

Data for Sr3AgO4 after structural relaxation.

Cell lengths 4.9814, 8.6027, 7.3734 Å; angles 90.00, 90.00, 90.00 degrees
Last column: nearest neighbours and their distance in Å.
Space group Pmmn (No. 59, origin choice 2)
Asymmetric unit:
Sr1 0.2500 0.0072 0.1650 (multiplicity 4)  5 O 2.39-2.60
Sr2 0.2500 0.7500 0.6228 (multiplicity 2)  5 O 2.45-2.59
Ag1 0.2500 0.2500 0.7483 (multiplicity 2)  2 O 2.17
O1 0.2500 0.0041 0.8119 (multiplicity 4)  1 Ag 2.17
O2 0.2500 0.2500 0.3229 (multiplicity 2)  4 Sr 2.39-2.52
O3 0.2500 0.7500 0.2904 (multiplicity 2)  3 Sr 2.40-2.45, 2 Ag 2.51

Output
- Electronic total energy: -43.630 eV/f.u.
- Energy relative to the lowest polymorph listed for this composition: 0.333 eV per formula unit
- Crystal system: orthorhombic
- Mass density: 4.57 g/cm3

[2]
## Sr4Ag2O (PBE)

Data for Sr4Ag2O after structural relaxation.

Cell lengths 5.0153, 5.0153, 17.0828 Å; angles 90.00, 90.00, 90.00 degrees
Last column: nearest neighbours and their distance in Å.
Space group I4/mmm (No. 139)
Asymmetric unit:
Sr1 0.0000 0.0000 0.1742 (multiplicity 4)  1 O 2.98, 1 Ag 3.27
Sr2 0.0000 0.5000 0.0000 (multiplicity 4)  2 O 2.51
Ag1 0.0000 0.0000 0.3655 (multiplicity 4)  9 Sr 3.27-3.61
O1 0.0000 0.0000 0.0000 (multiplicity 2)  4 Sr 2.51

Output
- Electronic total energy: -23.663 eV/f.u.
- Crystal system: tetragonal
- Mass density: 4.50 g/cm3

[3]
## Sr2AgO3 (PBE)

Data for Sr2AgO3 after structural relaxation.

Cell lengths 3.5207, 4.2196, 13.1297 Å; angles 90.00, 90.00, 90.00 degrees
Last column: nearest neighbours and their distance in Å.
Space group Immm (No. 71)
Asymmetric unit:
Sr1 0.0000 0.0000 0.1490 (multiplicity 4)  3 O 2.46-2.63
Ag1 0.0000 0.0000 0.5000 (multiplicity 2)  4 O 2.11-2.15
O1 0.0000 0.0000 0.3360 (multiplicity 4)  1 Ag 2.15
O2 0.0000 0.5000 0.5000 (multiplicity 2)  2 Ag 2.11

Output
- Electronic total energy: -32.528 eV/f.u.
- Crystal system: orthorhombic
- Mass density: 5.64 g/cm3

[4]
## SrAgO (PBE)

Data for SrAgO after structural relaxation.

Cell lengths 3.6020, 3.6259, 8.5971 Å; angles 90.00, 90.00, 90.00 degrees
Last column: nearest neighbours and their distance in Å.
Space group Pmmn (No. 59, origin choice 2)
Asymmetric unit:
Sr1 0.2500 0.2500 0.1548 (multiplicity 2)  5 O 2.53-2.56
Ag1 0.2500 0.2500 0.5737 (multiplicity 2)  1 O 2.47
O1 0.2500 0.2500 0.8607 (multiplicity 2)  1 Ag 2.47, 5 Sr 2.53-2.56

Output
- Electronic total energy: -14.430 eV/f.u.
- Energy relative to the lowest polymorph listed for this composition: 0.000 eV per formula unit
- Crystal system: orthorhombic
- Mass density: 6.26 g/cm3

[5]
## Sr12Ag3O5 (PBE)

Data for Sr12Ag3O5 after structural relaxation.

Cell lengths 16.8758, 16.8758, 16.8758 Å; angles 90.00, 90.00, 90.00 degrees
Last column: nearest neighbours and their distance in Å.
Space group Ia-3d (No. 230)
Asymmetric unit:
Sr1 0.0344 0.0468 0.6505 (multiplicity 96)  1 O 2.40
Ag1 0.0000 0.2500 0.1250 (multiplicity 24)  8 Sr 3.27-3.50
O1 0.0000 0.0000 0.0000 (multiplicity 16)  6 Sr 2.72
O2 0.0000 0.2500 0.3750 (multiplicity 24)  4 Sr 2.40

Output
- Electronic total energy: -80.081 eV/f.u.
- Crystal system: cubic
- Mass density: 4.02 g/cm3

[6]
## Sr6Ag2O (PBE)

Data for Sr6Ag2O after structural relaxation.

Cell lengths 7.2955, 8.2160, 12.5885 Å; angles 90.00, 123.58, 90.00 degrees
Last column: nearest neighbours and their distance in Å.
Space group P2_1/c (No. 14)
Asymmetric unit:
Sr1 0.1205 0.0277 0.2356 (multiplicity 4)  1 O 2.60
Sr2 0.2151 0.7009 0.0567 (multiplicity 4)  1 O 2.79
Sr3 0.3585 0.1676 0.0534 (multiplicity 4)  1 O 2.69
Ag1 0.2933 0.1036 0.7516 (multiplicity 4)  7 Sr 3.24-3.60
O1 0.0000 0.0000 0.0000 (multiplicity 2)  6 Sr 2.60-2.79

Output
- Electronic total energy: -27.066 eV/f.u.
- Crystal system: monoclinic
- Mass density: 4.00 g/cm3

Results for magnetization: 0.00; 0.00; 0.00; 0.00; 0.00; 0.00 (in μB/f.u., following the order of the records).